(1)
Ir2PtRh4 | GGA-PBE | relaxed

Summary:
**Space-group type**: No. 123
**E_form**: 0.314 eV/atom

```
data_Ir2PtRh4
_symmetry_space_group_name_H-M 'P 1'
_symmetry_Int_Tables_number 1
_symmetry_space_group_name_Hall 'P 1'
_cell_length_a 2.681
_cell_length_b 6.390
_cell_length_c 6.390
_cell_angle_alpha 90.00
_cell_angle_beta 90.00
_cell_angle_gamma 90.00
loop_
_atom_site_label
_atom_site_fract_x
_atom_site_fract_y
_atom_site_fract_z
Rh1 0.000 0.706 0.294
Pt1 0.000 0.000 0.000
Rh2 0.000 0.294 0.294
Ir1 0.500 0.000 0.500
Rh3 0.000 0.706 0.706
Rh4 0.000 0.294 0.706
Ir2 0.500 0.500 0.000
```

(2)
NbTlCuTcTe | GGA-PBE | relaxed

Summary:
**Space-group type**: No. 8
**Raw formation energy**: 0.160 eV per atom

```
data_NbTlCuTcTe
_symmetry_space_group_name_H-M 'P 1'
_symmetry_Int_Tables_number 1
_symmetry_space_group_name_Hall 'P 1'
_cell_length_a 6.461
_cell_length_b 3.382
_cell_length_c 9.472
_cell_angle_alpha 90.00
_cell_angle_beta 101.02
_cell_angle_gamma 90.00
loop_
_atom_site_label
_atom_site_fract_x
_atom_site_fract_y
_atom_site_fract_z
Te1 0.548 0.000 0.869
Tl1 0.225 0.000 0.103
Nb1 0.718 0.000 0.172
Tl2 0.225 0.500 0.603
Nb2 0.718 0.500 0.672
Tc1 0.864 0.000 0.495
Tc2 0.864 0.500 0.995
Cu1 0.022 0.000 0.800
Te2 0.548 0.500 0.369
Cu2 0.022 0.500 0.300
```

(3)
Hf3Ti2N3 | GGA-PBE | relaxed

Summary:
**Space-group type**: No. 63
**Raw formation energy**: -1.063 eV per atom

```
data_Hf3Ti2N3
_symmetry_space_group_name_H-M 'P 1'
_symmetry_Int_Tables_number 1
_symmetry_space_group_name_Hall 'P 1'
_cell_length_a 3.033
_cell_length_b 5.744
_cell_length_c 14.336
_cell_angle_alpha 90.00
_cell_angle_beta 90.00
_cell_angle_gamma 105.31
loop_
_atom_site_label
_atom_site_fract_x
_atom_site_fract_y
_atom_site_fract_z
N1 0.646 0.291 0.963
Hf1 0.893 0.787 0.143
Ti1 0.166 0.333 0.442
Hf2 0.374 0.748 0.750
N2 0.354 0.709 0.463
N3 0.563 0.126 0.750
Ti2 0.166 0.333 0.058
Hf3 0.893 0.787 0.357
Hf4 0.626 0.252 0.250
N4 0.646 0.291 0.537
Hf5 0.107 0.213 0.857
Hf6 0.107 0.213 0.643
Ti3 0.834 0.667 0.942
N5 0.354 0.709 0.037
Ti4 0.834 0.667 0.558
N6 0.437 0.874 0.250
```

(4)
LaCu2AgMo | GGA-PBE | relaxed

Summary:
**Space-group type**: No. 123
**E_form**: 1.924 eV/atom

```
data_LaCu2AgMo
_symmetry_space_group_name_H-M 'P 1'
_symmetry_Int_Tables_number 1
_symmetry_space_group_name_Hall 'P 1'
_cell_length_a 4.867
_cell_length_b 5.231
_cell_length_c 4.867
_cell_angle_alpha 90.00
_cell_angle_beta 90.00
_cell_angle_gamma 90.00
loop_
_atom_site_label
_atom_site_fract_x
_atom_site_fract_y
_atom_site_fract_z
Cu1 0.000 0.000 0.500
Mo1 0.500 0.500 0.500
Cu2 0.500 0.000 0.000
La1 0.000 0.000 0.000
Ag1 0.000 0.500 0.000
```

(5)
Mg3NbCd | GGA-PBE | relaxed

Summary:
**Space-group type**: No. 221
**E_form**: 0.940 eV/atom

```
data_Mg3NbCd
_symmetry_space_group_name_H-M 'P 1'
_symmetry_Int_Tables_number 1
_symmetry_space_group_name_Hall 'P 1'
_cell_length_a 5.099
_cell_length_b 5.099
_cell_length_c 5.099
_cell_angle_alpha 90.00
_cell_angle_beta 90.00
_cell_angle_gamma 90.00
loop_
_atom_site_label
_atom_site_fract_x
_atom_site_fract_y
_atom_site_fract_z
Mg1 0.000 0.000 0.500
Cd1 0.000 0.000 0.000
Mg2 0.000 0.500 0.000
Nb1 0.500 0.500 0.500
Mg3 0.500 0.000 0.000
```

(6)
CaPm5 | GGA-PBE | relaxed

Summary:
**Space-group type**: No. 65
**E_form**: 0.120 eV/atom

```
data_CaPm5
_symmetry_space_group_name_H-M 'P 1'
_symmetry_Int_Tables_number 1
_symmetry_space_group_name_Hall 'P 1'
_cell_length_a 3.941
_cell_length_b 5.913
_cell_length_c 9.584
_cell_angle_alpha 107.97
_cell_angle_beta 90.00
_cell_angle_gamma 90.00
loop_
_atom_site_label
_atom_site_fract_x
_atom_site_fract_y
_atom_site_fract_z
Pm1 0.500 0.500 0.000
Pm2 0.500 0.156 0.311
Ca1 0.000 0.000 0.000
Pm3 0.000 0.678 0.356
Pm4 0.500 0.844 0.689
Pm5 0.000 0.322 0.644
```